VASP calculation (PBE-GGA) on Tm4Cu3Au after structural relaxation.

```
Tm4Cu3Au
1.0
3.677 0.000 0.000
0.000 4.492 0.000
0.000 0.000 10.361
Tm Cu Au
4 3 1
direct
0.000 0.000 0.000 Tm
0.000 0.500 0.272 Tm
0.500 0.000 0.487 Tm
0.500 0.500 0.777 Tm
0.000 0.500 0.551 Cu
0.500 0.000 0.207 Cu
0.500 0.500 0.061 Cu
0.000 0.000 0.713 Au
```

## Properties
* M_tot: 0.00 μB per cell
* E above lowest polymorph: 0.004 eV per atom
* energy of formation from the pure elements: -0.433 eV/atom